Entry 1:
DFT (PBE-GGA) results for crystalline Au4Br at its relaxed geometry.

a = 5.120 Å, b = 5.120 Å, c = 5.120 Å
α = 90.00°, β = 90.00°, γ = 90.00°
Space group Pm-3m (No. 221)
Asymmetric unit:
Au: 0.000 0.000 0.000 [1 per cell]
Au: 0.000 0.500 0.500 [3 per cell]
Br: 0.500 0.500 0.500 [1 per cell]

E_form (uncorrected): 99.6 kJ per mole of atoms
D(E_F): 4.029 states/eV/cell
polymorph energy (0 for the lowest one): 4.32 eV per formula unit

Entry 2:
DFT (PBE-GGA) results for crystalline AuBr at its relaxed geometry.

a = 11.2090 Å, b = 11.2090 Å, c = 4.1141 Å
α = 90.00°, β = 90.00°, γ = 120.00°
Space group P6_3/m (No. 176)
Asymmetric unit:
Au: 0.0605 0.7099 0.2500 [6 per cell]
Br: 0.1081 0.4178 0.2500 [6 per cell]

E_form (uncorrected): 10.0 kJ per mole of atoms
D(E_F): 0.953 states/eV/cell

Entry 3:
DFT (PBE-GGA) results for crystalline AuBr3 at its relaxed geometry.

a = 5.224 Å, b = 16.057 Å, c = 3.155 Å
α = 90.00°, β = 90.00°, γ = 90.00°
Space group Cmmm (No. 65)
Asymmetric unit:
Au: 0.000 0.000 0.000 [2 per cell]
Br: 0.000 0.500 0.000 [2 per cell]
Br: 0.250 0.250 0.500 [4 per cell]

E_form (uncorrected): 25.3 kJ per mole of atoms
D(E_F): 6.151 states/eV/cell

Entry 4:
DFT (PBE-GGA) results for crystalline Au2Br3 at its relaxed geometry.

a = 7.0065 Å, b = 7.0065 Å, c = 19.1911 Å
α = 90.00°, β = 90.00°, γ = 120.00°
Space group R-3c (No. 167, hexagonal axes)
Asymmetric unit:
Au: 0.0000 0.0000 0.1593 [12 per cell]
Br: 0.0000 0.3223 0.2500 [18 per cell]

E_form (uncorrected): 6.1 kJ per mole of atoms
D(E_F): 33.716 states/eV/cell
polymorph energy (0 for the lowest one): 0.65 eV per formula unit

Among the records above, which one has the lowest E_form (uncorrected)? Au2Br3